Entry 1:
The following is a DFT calculation (PBE-GGA) of crystalline Rb2Ru2F at its relaxed geometry.

Summary:
Energy relative to the elements, uncorrected: 0.53 eV per atom
Density of states at the Fermi level: 1.344 states/eV per atom
Distance to the lowest polymorph of the same formula: 979 meV per atom
Space group: I4/mmm (139)
Crystal system: tetragonal
M_tot: 0.0 μB/f.u.

Cell: 6.6692 6.6692 5.7933 Å, 54.86 54.86 90.00°
Fractional positions:
1 Ru 0.6601 0.6601 0.6798
2 Ru 0.3399 0.3399 0.3202
3 F 0.0000 0.0000 0.0000
4 Rb 0.2500 0.7500 0.5000
5 Rb 0.7500 0.2500 0.5000

***

Entry 2:
The following is a DFT calculation (PBE-GGA) of crystalline BaBe2NiH8 at its relaxed geometry.

Summary:
Raw total energy: -3.622 eV per atom
Space group: R-3 (148)
Crystal system: trigonal
M_tot: 2.0 μB/f.u.

Cell: 4.5208 4.5208 6.9670 Å, 71.07 71.07 60.00°
Fractional positions:
1 Ba 0.5000 0.5000 0.5000
2 H 0.0009 0.3737 0.8457
3 H 0.8069 0.8069 0.5794
4 H 0.2203 0.9991 0.1543
5 H 0.6263 0.2203 0.1543
6 H 0.3737 0.7797 0.8457
7 H 0.1931 0.1931 0.4206
8 H 0.9991 0.6263 0.1543
9 H 0.7797 0.0009 0.8457
10 Be 0.7319 0.7319 0.8043
11 Be 0.2681 0.2681 0.1957
12 Ni 0.0000 0.0000 0.0000

***

Entry 3:
The following is a DFT calculation (PBE-GGA) of crystalline EuScAg2 at its relaxed geometry.

Summary:
Energy of formation: -261 meV per atom
Density of states at the Fermi level: 1.741 states/eV per atom
Distance to the lowest polymorph of the same formula: 0 meV per atom
Space group: P4/mmm (123)
Crystal system: tetragonal
M_tot: 7.3 μB/f.u.

Cell: 3.5790 3.5790 7.3909 Å, 90.00 90.00 90.00°
Fractional positions:
1 Ag 0.0000 0.0000 0.2061
2 Ag 0.0000 0.0000 0.7939
3 Eu 0.5000 0.5000 0.5000
4 Sc 0.5000 0.5000 0.0000

***

Entry 4:
The following is a DFT calculation (PBE-GGA) of crystalline Mg6CuSn at its relaxed geometry.

Summary:
Energy of formation: -12 meV per atom
Density of states at the Fermi level: 0.496 states/eV per atom
Space group: Amm2 (38)
Crystal system: orthorhombic
M_tot: 0.0 μB/f.u.

Cell: 6.2350 6.2350 4.9275 Å, 90.00 90.00 118.50°
Fractional positions:
1 Mg 0.8353 0.1647 0.0000
2 Mg 0.3296 0.6704 0.0000
3 Mg 0.8516 0.6777 0.0000
4 Mg 0.3223 0.1484 0.0000
5 Mg 0.1642 0.3388 0.5000
6 Mg 0.6612 0.8358 0.5000
7 Cu 0.1725 0.8275 0.5000
8 Sn 0.6634 0.3366 0.5000

***

Entry 5:
The following is a DFT calculation (PBE-GGA) of crystalline SmGdTmPu at its relaxed geometry.

Summary:
Energy of formation: 216 meV per atom
Density of states at the Fermi level: 3.341 states/eV per atom
Space group: F-43m (216)
Crystal system: cubic
M_tot: 0.5 μB/f.u.

Cell: 5.6085 5.6085 5.6085 Å, 60.00 60.00 60.00°
Fractional positions:
1 Gd 0.0000 0.0000 0.0000
2 Sm 0.2500 0.2500 0.2500
3 Tm 0.7500 0.7500 0.7500
4 Pu 0.5000 0.5000 0.5000

***

Entry 6:
The following is a DFT calculation (PBE-GGA) of crystalline H3IrPd at its relaxed geometry.

Summary:
Density of states at the Fermi level: 0.440 states/eV per atom
Distance to the lowest polymorph of the same formula: 0 meV per atom
Space group: Pm-3m (221)
Crystal system: cubic
M_tot: 0.0 μB/f.u.

Cell: 3.4729 3.4729 3.4729 Å, 90.00 90.00 90.00°
Fractional positions:
1 H 0.0000 0.0000 0.5000
2 H 0.0000 0.5000 0.0000
3 H 0.5000 0.0000 0.0000
4 Ir 0.0000 0.0000 0.0000
5 Pd 0.5000 0.5000 0.5000

***

Entry 7:
The following is a DFT calculation (PBE-GGA) of crystalline KBa2SrZn at its relaxed geometry.

Summary:
Energy of formation: 88 meV per atom
Density of states at the Fermi level: 0.938 states/eV per atom
Distance to the lowest polymorph of the same formula: 87 meV per atom
Space group: P4/mmm (123)
Crystal system: tetragonal
M_tot: 0.0 μB/f.u.

Cell: 6.5926 6.5926 6.6012 Å, 90.00 90.00 90.00°
Fractional positions:
1 Ba 0.5000 0.0000 0.0000
2 Ba 0.0000 0.5000 0.0000
3 Zn 0.0000 0.0000 0.0000
4 Sr 0.5000 0.5000 0.5000
5 K 0.0000 0.0000 0.5000

***

Entry 8:
The following is a DFT calculation (PBE-GGA) of crystalline Cd2SbPb at its relaxed geometry.

Summary:
Energy relative to the elements, uncorrected: 0.08 eV per atom
Density of states at the Fermi level: 0.261 states/eV per atom
Distance to the lowest polymorph of the same formula: 18 meV per atom
Space group: C2/m (12)
Crystal system: monoclinic
M_tot: 0.0 μB/f.u.

Cell: 5.5520 5.5520 6.2646 Å, 82.65 82.65 34.40°
Fractional positions:
1 Sb 0.7500 0.7500 0.7500
2 Cd 0.4989 0.4989 0.5057
3 Cd 0.0011 0.0011 0.9943
4 Pb 0.2500 0.2500 0.2500

***

Entry 9:
The following is a DFT calculation (PBE-GGA) of crystalline TlIn2Hg2Bi2 at its relaxed geometry.

Summary:
Energy of formation: 39 meV per atom
Density of states at the Fermi level: 0.452 states/eV per atom
Space group: C2/m (12)
Crystal system: monoclinic
M_tot: 0.0 μB/f.u.

Cell: 5.0640 5.0709 10.6836 Å, 90.58 90.00 119.96°
Fractional positions:
1 Bi 0.6702 0.3405 0.6630
2 Bi 0.3298 0.6595 0.3370
3 In 0.6620 0.3240 0.2329
4 In 0.3380 0.6760 0.7671
5 Hg 0.3332 0.6663 0.0486
6 Hg 0.6668 0.3337 0.9514
7 Tl 0.0000 0.0000 0.5000

***

Entry 10:
The following is a DFT calculation (PBE-GGA) of crystalline YCoH3 at its relaxed geometry.

Summary:
Raw total energy: -5.030 eV per atom
Density of states at the Fermi level: 0.395 states/eV per atom
Space group: Cm (8)
Crystal system: monoclinic
M_tot: 0.5 μB/f.u.

Cell: 3.4821 3.4821 4.7819 Å, 68.74 68.77 90.00°
Fractional positions:
1 Co 0.0586 0.8621 0.5878
2 H 0.5945 0.8984 0.5152
3 H 0.8638 0.6672 0.9785
4 H 0.0948 0.3981 0.5153
5 Y 0.3961 0.1994 0.9143

***

Entry 11:
The following is a DFT calculation (PBE-GGA) of crystalline LiMgTlGe at its relaxed geometry.

Summary:
Energy of formation: -144 meV per atom
Density of states at the Fermi level: 0.257 states/eV per atom
Space group: F-43m (216)
Crystal system: cubic
M_tot: 0.0 μB/f.u.

Cell: 4.8877 4.8877 4.8877 Å, 60.00 60.00 60.00°
Fractional positions:
1 Mg 0.5000 0.5000 0.5000
2 Tl 0.7500 0.7500 0.7500
3 Li 0.0000 0.0000 0.0000
4 Ge 0.2500 0.2500 0.2500

***

Entry 12:
The following is a DFT calculation (PBE-GGA) of crystalline Li3Ag6Pd2 at its relaxed geometry.

Summary:
Energy of formation: 22 meV per atom
Density of states at the Fermi level: 0.221 states/eV per atom
Distance to the lowest polymorph of the same formula: 221 meV per atom
Space group: I4/mmm (139)
Crystal system: tetragonal
M_tot: 0.0 μB/f.u.

Cell: 3.8205 3.8205 13.6815 Å, 98.03 98.03 90.00°
Fractional positions:
1 Ag 0.4242 0.9242 0.8484
2 Ag 0.7641 0.7641 0.5281
3 Ag 0.2359 0.2359 0.4719
4 Ag 0.5758 0.0758 0.1516
5 Ag 0.9242 0.4242 0.8484
6 Ag 0.0758 0.5758 0.1516
7 Li 0.0000 0.0000 0.0000
8 Li 0.8548 0.8548 0.7096
9 Li 0.1452 0.1452 0.2904
10 Pd 0.3401 0.3401 0.6802
11 Pd 0.6599 0.6599 0.3198